The following is a DFT calculation (PBE) of a geometry-optimized HfSe2 structure.

Structure (extended XYZ):
```
12
Lattice="6.338 0.000 0.000 0.000 6.717 0.000 -0.965 0.000 6.507" Properties=species:S:1:pos:R:3 pbc="T T T"
Hf 1.630 2.970 1.271
Hf 4.226 6.328 1.983
Hf 1.148 0.389 4.524
Hf 3.743 3.748 5.236
Se 3.649 1.514 0.002
Se 5.599 4.201 1.257
Se 0.257 0.842 1.996
Se 2.207 4.873 3.252
Se 3.166 1.844 3.255
Se 5.116 5.875 4.511
Se -0.225 2.516 5.250
Se 1.725 5.203 6.505
```

***

The following is a DFT calculation (PBE) of a geometry-optimized Zr2NiN structure.

Structure (extended XYZ):
```
8
Lattice="3.276 0.000 0.000 -1.638 2.837 0.000 0.000 0.000 12.895" Properties=species:S:1:pos:R:3 pbc="T T T"
N 0.000 0.000 0.000
N 0.000 0.000 6.447
Ni 1.638 0.946 3.224
Ni 0.000 1.891 9.671
Zr 0.000 1.891 1.327
Zr 0.000 1.891 5.120
Zr 1.638 0.946 7.775
Zr 1.638 0.946 11.567
```

***

The following is a DFT calculation (PBE) of a geometry-optimized PmTcNO structure.

Structure (extended XYZ):
```
8
Lattice="-0.474 -3.757 0.501 0.556 -0.746 -5.067 5.338 -0.584 0.671" Properties=species:S:1:pos:R:3 pbc="T T T"
N 2.319 -0.938 -4.838
N 3.851 -0.763 -2.077
O -0.065 -2.073 -1.042
O 5.491 -3.023 -2.912
Pm 1.381 -0.494 -2.397
Pm 4.235 -0.464 0.531
Tc 2.070 -2.816 -4.592
Tc 3.626 -2.643 -1.827
```

## Properties
- Energy above the most stable polymorph in this dataset: 238 meV per atom

***

The following is a DFT calculation (PBE) of a geometry-optimized NaSiAu structure.

Structure (extended XYZ):
```
3
Lattice="0.333 -3.581 -2.694 -2.432 -3.682 0.847 -3.417 -1.106 -2.700" Properties=species:S:1:pos:R:3 pbc="T T T"
Au -1.379 -2.092 -1.137
Na 0.000 0.000 0.000
Si -4.138 -6.277 -3.410
```

***

The following is a DFT calculation (PBE) of a geometry-optimized RbGdSO structure.

Structure (extended XYZ):
```
8
Lattice="3.767 0.000 0.000 -1.884 3.263 0.000 0.000 0.000 14.328" Properties=species:S:1:pos:R:3 pbc="T T T"
Gd 0.000 0.000 0.268
Gd 0.000 0.000 7.431
O 0.000 2.175 1.250
O 1.884 1.088 8.414
Rb 1.884 1.088 3.478
Rb 0.000 2.175 10.642
S 0.000 2.175 5.750
S 1.884 1.088 12.913
```

## Properties
- Energy above the most stable polymorph in this dataset: 90 meV per atom

***

The following is a DFT calculation (PBE) of a geometry-optimized LuFeSbPd structure.

Structure (extended XYZ):
```
4
Lattice="-1.033 -0.033 4.633 -2.934 -3.294 1.754 1.697 -3.449 2.786" Properties=species:S:1:pos:R:3 pbc="T T T"
Fe -1.703 -5.082 6.880
Lu -0.568 -1.694 2.293
Pd -1.135 -3.388 4.587
Sb 0.000 0.000 0.000
```

## Properties
- Energy above the most stable polymorph in this dataset: 124 meV per atom

***

The following is a DFT calculation (PBE) of a geometry-optimized HfZrCoCu structure.

Structure (extended XYZ):
```
4
Lattice="0.000 3.202 3.202 3.202 0.000 3.202 3.202 3.202 0.000" Properties=species:S:1:pos:R:3 pbc="T T T"
Co 1.601 1.601 1.601
Cu 4.803 4.803 4.803
Hf 3.202 3.202 3.202
Zr 0.000 0.000 0.000
```

## Properties
- Formation enthalpy at 0 K: -215 meV per atom
- Energy above the most stable polymorph in this dataset: 0 meV per atom

***

The following is a DFT calculation (PBE) of a geometry-optimized NaNbTcAs structure.

Structure (extended XYZ):
```
4
Lattice="0.000 3.167 3.167 3.167 0.000 3.167 3.167 3.167 0.000" Properties=species:S:1:pos:R:3 pbc="T T T"
As 0.000 0.000 0.000
Na 4.750 4.750 4.750
Nb 3.167 3.167 3.167
Tc 1.583 1.583 1.583
```

## Properties
- Energy above the most stable polymorph in this dataset: 0 meV per atom

***

The following is a DFT calculation (PBE) of a geometry-optimized Tl2AgPdCl6 structure.

Structure (extended XYZ):
```
10
Lattice="0.000 5.041 5.041 5.041 0.000 5.041 5.041 5.041 0.000" Properties=species:S:1:pos:R:3 pbc="T T T"
Ag 0.000 0.000 0.000
Cl 5.041 5.041 7.472
Cl 5.041 2.610 5.041
Cl 2.610 5.041 5.041
Cl 5.041 5.041 2.610
Cl 5.041 7.472 5.041
Cl 7.472 5.041 5.041
Pd 5.041 5.041 5.041
Tl 2.520 2.520 2.520
Tl 7.561 7.561 7.561
```

***

The following is a DFT calculation (PBE) of a geometry-optimized Sr2AgPt structure.

Structure (extended XYZ):
```
4
Lattice="3.766 0.000 0.000 0.000 3.766 0.000 0.000 0.000 7.699" Properties=species:S:1:pos:R:3 pbc="T T T"
Ag 0.000 0.000 3.849
Pt 0.000 0.000 0.000
Sr 1.883 1.883 1.761
Sr 1.883 1.883 5.938
```

## Properties
- Energy above the most stable polymorph in this dataset: 56 meV per atom

***

The following is a DFT calculation (PBE) of a geometry-optimized CdAg15 structure.

Structure (extended XYZ):
```
32
Lattice="-2.443 0.920 -7.827 -2.154 -1.956 0.443 -22.875 27.543 10.392" Properties=species:S:1:pos:R:3 pbc="T T T"
Ag -5.544 5.285 1.269
Ag -9.302 6.015 -4.013
Ag -8.072 5.553 -0.069
Ag -7.330 7.436 2.080
Ag -8.560 7.906 -1.831
Ag -11.126 8.214 -3.170
Ag -9.904 7.755 0.749
Ag -9.125 9.597 2.895
Ag -10.357 10.070 -1.014
Ag -11.710 9.930 1.567
Ag -12.932 10.390 -2.346
Ag -10.930 11.771 3.714
Ag -12.156 12.236 -0.197
Ag -13.515 12.103 2.387
Ag -14.739 12.565 -1.527
Ag -12.733 13.942 4.534
Ag -13.956 14.403 0.621
Ag -15.316 14.271 3.205
Ag -16.542 14.736 -0.707
Ag -14.540 16.117 5.354
Ag -15.761 16.577 1.441
Ag -17.115 16.437 4.022
Ag -18.346 16.909 0.113
Ag -17.568 18.751 2.259
Ag -16.346 18.292 6.178
Ag -18.912 18.601 4.839
Ag -20.142 19.071 0.928
Ag -19.400 20.954 3.077
Ag -18.170 20.492 7.020
Ag -21.928 21.221 1.739
Cd -6.711 5.680 -2.672
Cd -20.760 20.827 5.680
```

## Properties
- Formation enthalpy at 0 K: 59 meV per atom
- Energy above the most stable polymorph in this dataset: 29 meV per atom

***

The following is a DFT calculation (PBE) of a geometry-optimized Tm3P2O structure.

Structure (extended XYZ):
```
6
Lattice="3.767 0.000 0.000 -1.884 3.263 0.000 0.000 0.000 9.083" Properties=species:S:1:pos:R:3 pbc="T T T"
O 0.000 0.000 0.000
P 0.000 2.175 2.886
P 1.884 1.088 6.197
Tm 1.884 1.088 1.325
Tm 0.000 0.000 4.542
Tm 0.000 2.175 7.758
```

***

| no. | E_tot (eV/atom) |
| --- | --- |
| 1 | -6.84 |
| 2 | -8.62 |
| 3 | -8.40 |
| 4 | -2.74 |
| 5 | -5.85 |
| 6 | -5.82 |
| 7 | -7.55 |
| 8 | -6.48 |
| 9 | -3.07 |
| 10 | -3.60 |
| 11 | -2.64 |
| 12 | -6.80 |